A plane-wave DFT calculation with PBE was carried out for crystalline La8SmTl2 at its relaxed geometry.

Lattice parameters (Å, degrees): 9.5901 9.5901 6.3213 103.10 103.10 42.57
Last column: nearest neighbours and their distance in Å.
Fractional coordinates of all 11 atoms:
La1 0.0033 0.0033 0.2411  2 La 3.02-3.30
La2 0.0595 0.5912 0.3886  2 La 3.26-3.34, 3 Tl 3.37-3.62, 1 Sm 3.55
La3 0.3732 0.3732 0.9267  3 Tl 3.59-3.91, 6 La 3.73-3.97, 2 Sm 3.78-3.92
La4 0.4088 0.9405 0.6114  2 La 3.26-3.34, 3 Tl 3.37-3.62, 1 Sm 3.55
La5 0.5912 0.0595 0.3886  2 La 3.26-3.34, 3 Tl 3.37-3.62, 1 Sm 3.55
La6 0.6268 0.6268 0.0733  3 Tl 3.59-3.91, 6 La 3.73-3.97, 2 Sm 3.78-3.92
La7 0.9405 0.4088 0.6114  2 La 3.26-3.34, 3 Tl 3.37-3.62, 1 Sm 3.55
La8 0.9967 0.9967 0.7589  2 La 3.02-3.30
Sm1 0.5000 0.5000 0.5000  12 La 3.55-3.92
Tl1 0.1778 0.1778 0.1019  10 La 3.37-3.62
Tl2 0.8222 0.8222 0.8981  10 La 3.37-3.62

Results
E_tot   -4.53 eV/atom
Size of the total moment   0.0 μB per cell
Energy of formation from the pure elements   -96 kJ/mol of formula units
Theoretical density   7.27 g/cm³

A plane-wave DFT calculation with PBE was carried out for crystalline PrNd2Mg at its relaxed geometry.

Lattice parameters (Å, degrees): 5.6916 5.6916 5.6916 60.00 60.00 60.00
Last column: nearest neighbours and their distance in Å.
Fractional coordinates of all 4 atoms:
Pr1 0.0000 0.0000 0.0000  8 Nd 3.49
Nd1 0.2500 0.2500 0.2500  4 Pr 3.49, 4 Mg 3.49
Nd2 0.7500 0.7500 0.7500  4 Pr 3.49, 4 Mg 3.49
Mg1 0.5000 0.5000 0.5000  8 Nd 3.49

Results
E_tot   -3.92 eV/atom
Size of the total moment   0.0 μB per cell
Energy of formation from the pure elements   22 kJ/mol of formula units
Theoretical density   5.78 g/cm³

A plane-wave DFT calculation with PBE was carried out for crystalline Pm2InPb3 at its relaxed geometry.

Lattice parameters (Å, degrees): 8.2084 8.2084 4.7716 90.00 90.00 147.28
Last column: nearest neighbours and their distance in Å.
Fractional coordinates of all 6 atoms:
Pm1 0.1485 0.8515 0.0000  8 Pb 3.29-3.67, 2 In 3.34
Pm2 0.8515 0.1485 0.0000  8 Pb 3.29-3.67, 2 In 3.34
In1 0.0000 0.0000 0.5000  8 Pb 3.32-3.59, 4 Pm 3.34
Pb1 0.3255 0.6745 0.5000  4 Pb 3.32-3.64, 6 Pm 3.35-3.67, 2 In 3.59
Pb2 0.5000 0.5000 0.0000  4 Pm 3.29, 4 In 3.32, 4 Pb 3.64
Pb3 0.6745 0.3255 0.5000  4 Pb 3.32-3.64, 6 Pm 3.35-3.67, 2 In 3.59

Results
E_tot   -4.36 eV/atom
Size of the total moment   0.0 μB per cell
Energy of formation from the pure elements   -271 kJ/mol of formula units
Theoretical density   9.81 g/cm³

A plane-wave DFT calculation with PBE was carried out for crystalline La6TcRh2Cl3 at its relaxed geometry.

Lattice parameters (Å, degrees): 7.1839 7.1839 8.0412 98.55 98.55 120.05
Last column: nearest neighbours and their distance in Å.
Fractional coordinates of all 12 atoms:
La1 0.0686 0.3943 0.2064  1 Tc 2.83, 2 Rh 2.89
La2 0.2578 0.2578 0.7940  1 Tc 2.83, 2 Rh 2.90
La3 0.3943 0.0686 0.2064  1 Tc 2.83, 2 Rh 2.89
La4 0.6057 0.9314 0.7936  1 Tc 2.83, 2 Rh 2.89
La5 0.7422 0.7422 0.2060  1 Tc 2.83, 2 Rh 2.90
La6 0.9314 0.6057 0.7936  1 Tc 2.83, 2 Rh 2.89
Tc1 0.0000 0.0000 0.0000  6 La 2.83
Rh1 0.3327 0.6673 0.0000  6 La 2.89-2.90
Rh2 0.6673 0.3327 0.0000  6 La 2.89-2.90
Cl1 0.1609 0.8391 0.5000  6 La 3.23-3.38
Cl2 0.5000 0.5000 0.5000  6 La 3.27-3.33
Cl3 0.8391 0.1609 0.5000  6 La 3.23-3.38

Results
E_tot   -6.12 eV/atom
Size of the total moment   0.0 μB per cell
Theoretical density   6.02 g/cm³
E_form (uncorrected)   -1.1067 eV/atom

A plane-wave DFT calculation with PBE was carried out for crystalline Tb3DyMg6 at its relaxed geometry.

Lattice parameters (Å, degrees): 9.2822 5.2710 11.2623 90.00 105.56 90.00
Last column: nearest neighbours and their distance in Å.
Fractional coordinates of all 20 atoms:
Tb1 0.0418 0.2500 0.3966  8 Mg 3.22-3.37
Tb2 0.1485 0.7500 0.2050  8 Mg 3.28-3.35
Tb3 0.2506 0.2500 0.0048  8 Mg 3.22-3.32
Tb4 0.7494 0.7500 0.9952  8 Mg 3.22-3.32
Tb5 0.8515 0.2500 0.7950  8 Mg 3.28-3.35
Tb6 0.9582 0.7500 0.6034  8 Mg 3.22-3.37
Dy1 0.4495 0.2500 0.6012  8 Mg 3.20-3.29
Dy2 0.5505 0.7500 0.3988  8 Mg 3.20-3.29
Mg1 0.0586 0.7500 0.9002  1 Mg 3.20, 7 Tb 3.22-3.32
Mg2 0.1622 0.2500 0.7072  1 Dy 3.20, 2 Mg 3.21, 5 Tb 3.23-3.37
Mg3 0.2571 0.7500 0.5095  3 Dy 3.20-3.29, 1 Mg 3.21, 4 Tb 3.22-3.35
Mg4 0.3543 0.7500 0.8055  8 Mg 3.20-3.22
Mg5 0.3573 0.2500 0.3022  3 Dy 3.21-3.25, 1 Mg 3.22, 4 Tb 3.23-3.37
Mg6 0.4534 0.7500 0.1004  3 Mg 3.20, 1 Dy 3.24, 4 Tb 3.25-3.35
Mg7 0.5466 0.2500 0.8996  3 Mg 3.20, 1 Dy 3.24, 4 Tb 3.25-3.35
Mg8 0.6427 0.7500 0.6978  3 Dy 3.21-3.25, 1 Mg 3.22, 4 Tb 3.23-3.37
Mg9 0.6457 0.2500 0.1945  8 Mg 3.20-3.22
Mg10 0.7429 0.2500 0.4905  3 Dy 3.20-3.29, 1 Mg 3.21, 4 Tb 3.22-3.35
Mg11 0.8378 0.7500 0.2928  1 Dy 3.20, 2 Mg 3.21, 5 Tb 3.23-3.37
Mg12 0.9414 0.2500 0.0998  1 Mg 3.20, 7 Tb 3.22-3.32

Results
E_tot   -2.87 eV/atom
Size of the total moment   0.2 μB per cell
Energy of formation from the pure elements   -65 kJ/mol of formula units
Theoretical density   4.91 g/cm³

A plane-wave DFT calculation with PBE was carried out for crystalline LiZn5Rh6 at its relaxed geometry.

Lattice parameters (Å, degrees): 7.3747 7.3747 4.2682 106.67 106.67 48.13
Last column: nearest neighbours and their distance in Å.
Fractional coordinates of all 12 atoms:
Li1 0.0000 0.0000 0.0000  8 Rh 2.61
Zn1 0.1650 0.1650 0.6652  8 Rh 2.59-2.62
Zn2 0.3336 0.3336 0.3335  8 Rh 2.61
Zn3 0.5000 0.5000 0.0000  8 Rh 2.61
Zn4 0.6664 0.6664 0.6665  8 Rh 2.61
Zn5 0.8350 0.8350 0.3348  8 Rh 2.59-2.62
Rh1 0.0830 0.5832 0.8330  7 Zn 2.61-2.62, 1 Li 2.61
Rh2 0.2496 0.7504 0.5000  6 Zn 2.59-2.61, 2 Li 2.61
Rh3 0.4168 0.9170 0.1670  7 Zn 2.61-2.62, 1 Li 2.61
Rh4 0.5832 0.0830 0.8330  7 Zn 2.61-2.62, 1 Li 2.61
Rh5 0.7504 0.2496 0.5000  6 Zn 2.59-2.61, 2 Li 2.61
Rh6 0.9170 0.4168 0.1670  7 Zn 2.61-2.62, 1 Li 2.61

Results
E_tot   -4.68 eV/atom
Size of the total moment   0.0 μB per cell
Energy of formation from the pure elements   -366 kJ/mol of formula units
Theoretical density   9.63 g/cm³

A plane-wave DFT calculation with PBE was carried out for crystalline NaLi2HgAs at its relaxed geometry.

Lattice parameters (Å, degrees): 4.9078 4.9078 5.6012 90.00 90.00 90.00
Last column: nearest neighbours and their distance in Å.
Fractional coordinates of all 5 atoms:
Na1 0.0000 0.0000 0.0000  2 As 2.80
Li1 0.0000 0.5000 0.5000  2 As 2.45
Li2 0.5000 0.0000 0.5000  2 As 2.45
Hg1 0.5000 0.5000 0.0000  4 Na 3.47, 8 Li 3.72
As1 0.0000 0.0000 0.5000  4 Li 2.45

Results
E_tot   -2.41 eV/atom
Size of the total moment   0.0 μB per cell
Energy of formation from the pure elements   -187 kJ/mol of formula units
Theoretical density   3.84 g/cm³

A plane-wave DFT calculation with PBE was carried out for crystalline Sr2BiRhF at its relaxed geometry.

Lattice parameters (Å, degrees): 4.9459 4.9459 5.2591 90.00 90.00 90.00
Last column: nearest neighbours and their distance in Å.
Fractional coordinates of all 5 atoms:
Sr1 0.0000 0.5000 0.0000  2 F 2.47
Sr2 0.5000 0.0000 0.0000  2 F 2.47
Bi1 0.0000 0.0000 0.5000  2 F 2.63
Rh1 0.5000 0.5000 0.5000  4 Bi 3.50, 8 Sr 3.61
F1 0.0000 0.0000 0.0000  4 Sr 2.47, 2 Bi 2.63

Results
E_tot   -4.14 eV/atom
Size of the total moment   0.0 μB per cell
Theoretical density   6.53 g/cm³
E_form (uncorrected)   -0.8416 eV/atom

The highest theoretical density belongs to which entry?
Pm2InPb3